Version i
Here is a relaxed AcSm2Co2 crystal from Alexandria via LeMat-Bulk. Energies are from GGA-PBE.

Cell: 3.8859 5.7542 6.2589 Å, 104.41 108.09 90.00°
With the nearest neighbours (Å) after each atom.
Atoms (fractional coordinates):
1 Ac 0.0000 0.0000 0.0000  6 Co 3.28-3.42
2 Sm 0.3488 0.4126 0.6976  3 Co 2.77-2.87
3 Sm 0.6512 0.5874 0.3024  3 Co 2.77-2.87
4 Co 0.7293 0.1028 0.4587  2 Co 2.39
5 Co 0.2707 0.8972 0.5413  2 Co 2.39

Version ii
Here is a relaxed AcSm2Co2 crystal from Alexandria via LeMat-Bulk. Energies are from GGA-PBE.

Cell: 4.0473 3.9708 8.4137 Å, 103.65 90.00 90.00°
With the nearest neighbours (Å) after each atom.
Atoms (fractional coordinates):
1 Ac 0.0000 0.0000 0.0000  2 Co 3.56, 8 Sm 3.82, 2 Ac 3.97
2 Sm 0.5000 0.6568 0.3135  6 Co 2.88-3.01
3 Sm 0.5000 0.3432 0.6865  6 Co 2.88-3.01
4 Co 0.0000 0.2179 0.4357  2 Co 2.25
5 Co 0.0000 0.7821 0.5643  2 Co 2.25

Which structure wins on stability? version ii wins.

Version i
Here is a relaxed Ac2SmCo crystal from Alexandria via LeMat-Bulk. Energies are from GGA-PBE.

Cell: 3.9996 3.9996 9.9845 Å, 78.45 78.45 60.00°
With the nearest neighbours (Å) after each atom.
Atoms (fractional coordinates):
1 Ac 0.2757 0.2757 0.1729  3 Co 2.86
2 Ac 0.7243 0.7243 0.8271  3 Co 2.86
3 Co 0.0000 0.0000 0.0000  6 Ac 2.86
4 Sm 0.5000 0.5000 0.5000  6 Ac 3.93, 6 Sm 4.00

Version ii
Here is a relaxed Ac2SmCo crystal from Alexandria via LeMat-Bulk. Energies are from GGA-PBE.

Cell: 4.2206 5.5042 6.9609 Å, 113.28 107.62 90.00°
With the nearest neighbours (Å) after each atom.
Atoms (fractional coordinates):
1 Ac 0.1592 0.1683 0.3191  2 Co 2.86
2 Ac 0.8408 0.8495 0.6809  2 Co 2.86
3 Sm 0.5000 0.5090 0.0000  2 Co 2.75
4 Co 0.5000 0.0092 0.0000  2 Sm 2.75, 4 Ac 2.86

Which structure wins on stability? version ii wins.

Version i
Here is a relaxed Ac3Co2Sn4 crystal from Alexandria via LeMat-Bulk. Energies are from GGA-PBE.

Cell: 4.6532 6.4901 8.9459 Å, 102.38 90.00 111.01°
With the nearest neighbours (Å) after each atom.
Atoms (fractional coordinates):
1 Ac 0.6155 0.2309 0.6880  3 Co 3.11-3.36, 2 Sn 3.43
2 Ac 0.0000 0.0000 0.0000  8 Sn 3.42-3.78
3 Ac 0.3845 0.7691 0.3120  3 Co 3.11-3.36, 2 Sn 3.43
4 Co 0.7044 0.4089 0.3881  4 Sn 2.59-2.66
5 Co 0.2956 0.5911 0.6119  4 Sn 2.59-2.66
6 Sn 0.7114 0.4228 0.0928  1 Co 2.66
7 Sn 0.2886 0.5772 0.9072  1 Co 2.66
8 Sn 0.8882 0.7764 0.6056  3 Co 2.59-2.60
9 Sn 0.1118 0.2236 0.3944  3 Co 2.59-2.60

Version ii
Here is a relaxed Ac3Co2Sn4 crystal from Alexandria via LeMat-Bulk. Energies are from GGA-PBE.

Cell: 4.6497 6.5402 9.1555 Å, 98.83 90.00 110.82°
With the nearest neighbours (Å) after each atom.
Atoms (fractional coordinates):
1 Ac 0.6517 0.3034 0.6542  2 Co 3.20-3.38, 7 Sn 3.48-3.53
2 Ac 0.0000 0.0000 0.0000  8 Sn 3.39-3.62, 4 Co 3.52
3 Ac 0.3483 0.6966 0.3458  2 Co 3.20-3.38, 7 Sn 3.48-3.53
4 Co 0.5977 0.1954 0.2798  3 Sn 2.51-2.53
5 Co 0.4023 0.8046 0.7202  3 Sn 2.51-2.53
6 Sn 0.7213 0.4427 0.0868  1 Co 2.51
7 Sn 0.2787 0.5573 0.9132  1 Co 2.51
8 Sn 0.9323 0.8647 0.6262  2 Co 2.53
9 Sn 0.0677 0.1353 0.3738  2 Co 2.53

Which structure wins on stability? version i wins.